1.
Material: LiAc4Pb2
Method: DFT, PBE
State: relaxed

Output
DOS at the Fermi energy, states/eV per atom: 0.881
Volume, A^3/atom: 39.28
Energy relative to the lowest polymorph listed for this composition, eV/atom: 0.000
Density, kg/m³: 8028
Formation energy from the elements, eV/atom: -0.209
E_tot, eV for the cell shown: -27.23

Lattice parameters (Å, degrees): 5.7972 5.7972 10.0222 73.19 73.19 60.00
Closest atoms and distances in Å follow each position.
Atoms (fractional coordinates):
Ac 0.8726 0.8726 0.3821  3 Li 3.53, 3 Pb 3.70
Ac 0.1274 0.1274 0.6179  3 Li 3.53, 3 Pb 3.70
Pb 0.5948 0.5948 0.2157  1 Li 2.69
Ac 0.2833 0.2833 0.1500  4 Pb 3.40-3.46
Li 0.5000 0.5000 0.5000  2 Pb 2.69
Pb 0.4052 0.4052 0.7843  1 Li 2.69
Ac 0.7167 0.7167 0.8500  4 Pb 3.40-3.46

2.
Material: LiAc2Pb6
Method: DFT, PBE
State: relaxed

Output
DOS at the Fermi energy, states/eV per atom: 0.380
Volume, A^3/atom: 33.88
Density, kg/m³: 9279
Formation energy from the elements, eV/atom: -0.221
E_tot, eV for the cell shown: -34.37

Lattice parameters (Å, degrees): 4.9666 7.9012 8.7182 116.95 90.00 90.00
Closest atoms and distances in Å follow each position.
Atoms (fractional coordinates):
Pb 0.5000 0.7812 0.0000  2 Li 3.03
Li 0.0000 0.0000 0.0000  8 Pb 2.83-3.03
Ac 0.5001 0.7007 0.4014  10 Pb 3.51-3.83
Pb 0.5000 0.2188 0.0000  2 Li 3.03
Pb 0.0002 0.9486 0.3008  1 Li 2.83
Pb 0.0002 0.3522 0.3008  1 Li 2.83
Pb 0.9998 0.6478 0.6992  1 Li 2.83
Ac 0.4999 0.2993 0.5986  10 Pb 3.51-3.83
Pb 0.9998 0.0514 0.6992  1 Li 2.83

3.
Material: Li2AcPb
Method: DFT, PBE
State: relaxed

Output
DOS at the Fermi energy, states/eV per atom: 0.862
Volume, A^3/atom: 29.63
Energy relative to the lowest polymorph listed for this composition, eV/atom: 0.135
Density, kg/m³: 6278
Formation energy from the elements, eV/atom: -0.173
E_tot, eV for the cell shown: -12.34

Lattice parameters (Å, degrees): 5.0652 4.8372 4.8372 90.00 90.00 90.00
Closest atoms and distances in Å follow each position.
Atoms (fractional coordinates):
Li 0.0000 0.0000 0.5000  4 Li 3.42, 4 Pb 3.50, 4 Ac 3.50
Pb 0.5000 0.5000 0.5000  4 Ac 3.42, 8 Li 3.50
Ac 0.5000 0.0000 0.0000  4 Pb 3.42, 8 Li 3.50
Li 0.0000 0.5000 0.0000  4 Li 3.42, 4 Ac 3.50, 4 Pb 3.50

4.
Material: Li2AcPb
Method: DFT, PBE
State: relaxed

Output
DOS at the Fermi energy, states/eV per atom: 0.694
Volume, A^3/atom: 26.76
Energy relative to the lowest polymorph listed for this composition, eV/atom: 0.000
Density, kg/m³: 6951
Formation energy from the elements, eV/atom: -0.308
E_tot, eV for the cell shown: -51.51

Lattice parameters (Å, degrees): 6.3981 7.1953 9.3005 90.00 90.00 90.00
Closest atoms and distances in Å follow each position.
Atoms (fractional coordinates):
Li 0.8849 0.4386 0.1743  1 Li 2.71, 3 Pb 2.87-2.94
Pb 0.1475 0.7500 0.1058  6 Li 2.87-2.94
Li 0.1151 0.9386 0.8257  1 Li 2.71, 3 Pb 2.87-2.94
Pb 0.6475 0.2500 0.3942  6 Li 2.87-2.94
Li 0.6151 0.4386 0.6743  1 Li 2.71, 3 Pb 2.87-2.94
Ac 0.8680 0.7500 0.4450  8 Li 3.37-3.74, 3 Pb 3.44-3.63
Li 0.3849 0.9386 0.3257  1 Li 2.71, 3 Pb 2.87-2.94
Pb 0.3525 0.7500 0.6058  6 Li 2.87-2.94
Li 0.6151 0.0614 0.6743  1 Li 2.71, 3 Pb 2.87-2.94
Li 0.3849 0.5614 0.3257  1 Li 2.71, 3 Pb 2.87-2.94
Ac 0.1320 0.2500 0.5550  8 Li 3.37-3.74, 3 Pb 3.44-3.63
Ac 0.3680 0.2500 0.0550  8 Li 3.37-3.74, 3 Pb 3.44-3.63
Li 0.1151 0.5614 0.8257  1 Li 2.71, 3 Pb 2.87-2.94
Pb 0.8525 0.2500 0.8942  6 Li 2.87-2.94
Li 0.8849 0.0614 0.1743  1 Li 2.71, 3 Pb 2.87-2.94
Ac 0.6320 0.7500 0.9450  8 Li 3.37-3.74, 3 Pb 3.44-3.63